Density functional theory data (PBE) for a geometry-optimized CaTaCo2 structure.

a b c (Å): 4.4769 4.4769 4.4769
angles (deg): 60.00 60.00 60.00
Fractional coordinates of all 4 atoms:
Ca (0.0000, 0.0000, 0.0000)
Ta (0.5000, 0.5000, 0.5000)
Co (0.2500, 0.2500, 0.2500)
Co (0.7500, 0.7500, 0.7500)

Computed properties:
E (eV per atom): -6.73
Density of states at the Fermi level (states/eV/cell): 2.1
SG: No. 225
Energy above the lowest structure with this stoichiometry (meV/atom): 295
ΔE_f (eV per atom): 0.283